LaYMg after structural relaxation. Source: Alexandria, functional PBE.

The structure in POSCAR format:
```
LaYMg
1.0
5.5815 0.0000 0.0000
-2.7908 4.8337 0.0000
0.0000 0.0000 3.4425
Mg La Y
1 1 1
direct
0.6667 0.3333 0.3553
0.0000 0.0000 0.0343
0.3333 0.6667 0.6104
```

E above lowest polymorph   94 meV per atom
Electronic total energy   -4.2927 eV/atom
Space-group type   P3m1
ΔE_f   0.108 eV/f.u.